1.
## GdYFe (PBE)

Data for a geometry-optimized GdYFe structure.

a = 3.398 Å, b = 3.398 Å, c = 12.829 Å
α = 90.00°, β = 90.00°, γ = 90.00°
Space group I4mm (No. 107)
Asymmetric unit:
Gd (0.000, 0.000, 0.000)
Y (0.000, 0.000, 0.254)
Fe (0.000, 0.000, 0.626)

Values from the calculation:
Crystal system ... tetragonal
Energy of formation from the pure elements ... 0.065 eV/atom

2.
## Gd3YFe (PBE)

Data for a geometry-optimized Gd3YFe structure.

a = 5.307 Å, b = 5.307 Å, c = 5.307 Å
α = 90.00°, β = 90.00°, γ = 90.00°
Space group Pm-3m (No. 221)
Asymmetric unit:
Gd (0.000, 0.000, 0.500)
Y (0.500, 0.500, 0.500)
Fe (0.000, 0.000, 0.000)

Values from the calculation:
Crystal system ... cubic
Energy of formation from the pure elements ... 0.107 eV/atom

3.
## GdY2Fe (PBE)

Data for a geometry-optimized GdY2Fe structure.

a = 3.487 Å, b = 3.487 Å, c = 8.674 Å
α = 90.00°, β = 90.00°, γ = 90.00°
Space group P4/mmm (No. 123)
Asymmetric unit:
Gd (0.000, 0.000, 0.000)
Y (0.500, 0.500, 0.313)
Fe (0.000, 0.000, 0.500)

Values from the calculation:
Crystal system ... tetragonal
Energy of formation from the pure elements ... 0.085 eV/atom

4.
## GdY3Fe (PBE)

Data for a geometry-optimized GdY3Fe structure.

a = 5.294 Å, b = 5.294 Å, c = 5.294 Å
α = 90.00°, β = 90.00°, γ = 90.00°
Space group Pm-3m (No. 221)
Asymmetric unit:
Gd (0.000, 0.000, 0.000)
Y (0.000, 0.500, 0.500)
Fe (0.500, 0.500, 0.500)

Values from the calculation:
Crystal system ... cubic
Energy of formation from the pure elements ... 0.105 eV/atom

5.
## Gd2YFe (PBE)

Data for a geometry-optimized Gd2YFe structure.

a = 3.472 Å, b = 3.472 Å, c = 8.793 Å
α = 90.00°, β = 90.00°, γ = 90.00°
Space group P4/mmm (No. 123)
Asymmetric unit:
Gd (0.000, 0.000, 0.187)
Y (0.500, 0.500, 0.500)
Fe (0.500, 0.500, 0.000)

Values from the calculation:
Crystal system ... tetragonal
Energy of formation from the pure elements ... 0.089 eV/atom

6.
## Gd2YFe (PBE)

Data for a geometry-optimized Gd2YFe structure.

a = 3.5238 Å, b = 3.5238 Å, c = 31.5890 Å
α = 90.00°, β = 90.00°, γ = 120.00°
Space group R-3m (No. 166, hexagonal axes)
Asymmetric unit:
Gd (0.0000, 0.0000, 0.1079)
Y (0.0000, 0.0000, 0.0000)
Fe (0.0000, 0.0000, 0.5000)

Values from the calculation:
Crystal system ... trigonal
Energy of formation from the pure elements ... 0.307 eV/atom

Q: energy of formation from the pure elements of number 2 (Gd3YFe)?
A: 0.107 eV/atom